1.
VASP calculation (PBE) on KScSe3 after structural relaxation.

Output
Energy above the lowest structure with this stoichiometry ... 1578 meV/atom
Raw formation energy ... 2.82 eV per formula unit

abc: 5.384 5.384 5.384
angles: 90.00 90.00 90.00
Sites, in units of the cell vectors:
K (0.000, 0.000, 0.000)
Se (0.000, 0.000, 0.500)
Se (0.000, 0.500, 0.000)
Se (0.500, 0.000, 0.000)
Sc (0.500, 0.500, 0.500)


2.
VASP calculation (PBE) on CdCo2Ni after structural relaxation.

Output
Energy above the lowest structure with this stoichiometry ... 150 meV/atom

abc: 4.216 4.216 4.216
angles: 60.00 60.00 60.00
Sites, in units of the cell vectors:
Cd (0.500, 0.500, 0.500)
Co (0.000, 0.000, 0.000)
Co (0.250, 0.250, 0.250)
Ni (0.750, 0.750, 0.750)


3.
VASP calculation (PBE) on SrThCd6 after structural relaxation.

abc: 5.232 5.230 7.470
angles: 90.00 90.00 90.00
Sites, in units of the cell vectors:
Cd (0.500, 0.250, 0.000)
Cd (0.500, 0.750, 0.251)
Cd (0.000, 0.250, 0.252)
Cd (0.000, 0.250, 0.748)
Cd (0.500, 0.750, 0.749)
Cd (0.000, 0.750, 0.500)
Th (0.500, 0.250, 0.500)
Sr (0.000, 0.750, 0.000)


4.
VASP calculation (PBE) on Ba4In3Au after structural relaxation.

abc: 4.199 4.199 17.009
angles: 90.00 90.00 90.00
Sites, in units of the cell vectors:
Au (0.500, 0.500, 0.000)
In (0.500, 0.500, 0.753)
In (0.500, 0.500, 0.247)
In (0.500, 0.500, 0.500)
Ba (0.000, 0.000, 0.627)
Ba (0.000, 0.000, 0.116)
Ba (0.000, 0.000, 0.373)
Ba (0.000, 0.000, 0.884)


5.
VASP calculation (PBE) on Li2DySiGe2 after structural relaxation.

Output
Raw formation energy ... -2.52 eV per formula unit

abc: 4.025 7.670 7.636
angles: 90.00 90.00 90.00
Sites, in units of the cell vectors:
Dy (0.000, 0.002, 0.475)
Dy (0.000, 0.502, 0.525)
Li (0.000, 0.339, 0.145)
Li (0.500, 0.501, 0.901)
Li (0.500, 0.001, 0.099)
Li (0.000, 0.839, 0.855)
Ge (0.000, 0.701, 0.164)
Ge (0.500, 0.762, 0.658)
Ge (0.500, 0.262, 0.342)
Ge (0.000, 0.201, 0.836)
Si (0.500, 0.240, 0.654)
Si (0.500, 0.740, 0.346)


6.
VASP calculation (PBE) on Sc2CoW2 after structural relaxation.

Output
Energy above the lowest structure with this stoichiometry ... 0 meV/atom

abc: 3.531 3.531 8.405
angles: 77.87 77.87 90.00
Sites, in units of the cell vectors:
Sc (0.407, 0.407, 0.186)
Sc (0.593, 0.593, 0.814)
W (0.250, 0.750, 0.500)
W (0.750, 0.250, 0.500)
Co (0.000, 0.000, 0.000)


7.
VASP calculation (PBE) on Ba2Br3N2 after structural relaxation.

Output
Raw formation energy ... -3.61 eV per formula unit

abc: 6.082 9.853 8.194
angles: 56.69 33.98 73.80
Sites, in units of the cell vectors:
Br (0.399, 0.424, 0.877)
Br (0.601, 0.576, 0.123)
Br (0.500, 0.000, 0.000)
Ba (0.163, 0.751, 0.997)
Ba (0.837, 0.249, 0.003)
N (0.968, 0.946, 0.243)
N (0.032, 0.054, 0.757)


8.
VASP calculation (PBE) on CoCuC3 after structural relaxation.

Output
Energy above the lowest structure with this stoichiometry ... 655 meV/atom

abc: 3.742 3.742 3.742
angles: 90.00 90.00 90.00
Sites, in units of the cell vectors:
Co (0.500, 0.500, 0.500)
Cu (0.000, 0.000, 0.000)
C (0.000, 0.000, 0.500)
C (0.500, 0.000, 0.000)
C (0.000, 0.500, 0.000)


Calculated E_tot, -0.22136 -0.36167 -0.14710 -0.20992 -0.31371 -0.62648 -0.30577 -0.36120 Ry per atom (same order as the records).
Calculated magnetization, 0.0 3.7 0.0 0.0 0.0 0.6 3.0 0.0 μB/f.u. (same order as the records).